## InCl (PBE)

Data for a geometry-optimized InCl structure.

```
data_InCl
_space_group_name_H-M_alt 'P 1'
_space_group_IT_number 1
_cell_length_a 9.3994
_cell_length_b 9.3994
_cell_length_c 6.2213
_cell_angle_alpha 90.00
_cell_angle_beta 90.00
_cell_angle_gamma 120.00
loop_
_space_group_symop_operation_xyz
'x,y,z'
loop_
_atom_site_label
_atom_site_type_symbol
_atom_site_fract_x
_atom_site_fract_y
_atom_site_fract_z
Cl1 Cl 0.6438 0.0529 0.2500
Cl2 Cl 0.4091 0.3562 0.2500
Cl3 Cl 0.3562 0.9471 0.7500
Cl4 Cl 0.9471 0.5909 0.2500
Cl5 Cl 0.0529 0.4091 0.7500
Cl6 Cl 0.5909 0.6438 0.7500
In1 In 0.3215 0.3194 0.7500
In2 In 0.6785 0.6806 0.2500
In3 In 0.6806 0.0021 0.7500
In4 In 0.3194 0.9979 0.2500
In5 In 0.0021 0.3215 0.2500
In6 In 0.9979 0.6785 0.7500
```

Values from the calculation:
Raw total energy = -3.063 eV/atom
Raw formation energy = -0.771 eV/atom
Space group = P6_3/m, No. 176